Record 1
Ac3PrGe2 | PBE | relaxed

abc: 8.4973 8.4973 21.0354
angles: 90.00 90.00 120.00
Space group R-3c (No. 167, hexagonal axes)
One atom of each set of equivalent atoms:
Ac (0.0000, 0.2794, 0.2500) (multiplicity 18)
Pr (0.0000, 0.0000, 0.0000) (multiplicity 6)
Ge (0.0000, 0.0000, 0.1441) (multiplicity 12)

* DOS(E_F): 42.61 states/eV per cell
* E_form: -0.278 eV per atom
* mass density: 7.33 g/cm³
* distance to the lowest polymorph of the same formula: 0.227 eV per atom

Record 2
Ac2PrGe2 | PBE | relaxed

abc: 8.155 8.155 4.697
angles: 90.00 90.00 90.00
Space group P4/mbm (No. 127)
One atom of each set of equivalent atoms:
Ac (0.175, 0.325, 0.000) (multiplicity 4)
Pr (0.000, 0.000, 0.500) (multiplicity 2)
Ge (0.118, 0.618, 0.500) (multiplicity 4)

* DOS(E_F): 10.50 states/eV per cell
* E_form: -0.663 eV per atom
* mass density: 7.87 g/cm³
* distance to the lowest polymorph of the same formula: 0.000 eV per atom

Record 3
AcPrGe2 | PBE | relaxed

abc: 4.196 4.651 11.564
angles: 90.00 90.00 90.00
Space group Amm2 (No. 38)
One atom of each set of equivalent atoms:
Ac (0.000, 0.000, 0.000) (multiplicity 2)
Pr (0.500, 0.000, 0.724) (multiplicity 2)
Ge (0.000, 0.000, 0.278) (multiplicity 2)
Ge (0.500, 0.000, 0.431) (multiplicity 2)

* DOS(E_F): 7.85 states/eV per cell
* E_form: -0.742 eV per atom
* mass density: 7.55 g/cm³